This record from the Alexandria database describes a relaxed structure of Er6BiSb3. The functional is GGA-PBE.

The spin magnetization comes out at 0.7 μB per formula unit. For the density of states at the Fermi level, the calculation gives 31.564 states/eV/cell. As for the uncorrected formation energy: -67.6 kJ per mole of atoms.

abc: 11.072 14.630 7.545
angles: 90.00 90.00 90.00
Space group Cmc2_1 (No. 36)
One atom of each set of equivalent atoms:
Er  0.000  0.002  0.000 [4 per cell]
Er  0.000  0.247  0.136 [4 per cell]
Er  0.169  0.447  0.099 [8 per cell]
Er  0.203  0.276  0.492 [8 per cell]
Bi  0.000  0.176  0.752 [4 per cell]
Sb  0.000  0.415  0.415 [4 per cell]
Sb  0.184  0.097  0.268 [8 per cell]